CrReP2S: optimized geometry, PBE.

Calculated values
- Spin magnetization: 4.10 Bohr magnetons per cell
- Total energy: -6.664 eV per atom
- Excess energy over the best structure of this formula in the dataset: 0 meV/atom
- Formation energy (no corrections): 0.7395 eV/atom

Structure (POSCAR):
```
CrReP2S
1.0
4.494 0.000 0.000
0.000 4.494 0.000
0.000 0.000 5.149
Cr Re P S
1 1 2 1
direct
0.000 0.000 0.000
0.500 0.500 0.500
0.000 0.500 0.500
0.500 0.000 0.500
0.500 0.500 0.000
```


Pm4CoAg3: optimized geometry, PBE.

Calculated values
- Spin magnetization: 0.84 Bohr magnetons per cell
- Total energy: -4.526 eV per atom
- E_form: -0.19 eV/atom

Structure (POSCAR):
```
Pm4CoAg3
1.0
3.605 0.000 0.000
0.000 3.605 0.000
0.000 0.000 15.112
Pm Co Ag
4 1 3
direct
0.000 0.000 0.110
0.000 0.000 0.371
0.000 0.000 0.629
0.000 0.000 0.890
0.500 0.500 0.000
0.500 0.500 0.242
0.500 0.500 0.500
0.500 0.500 0.758
```


Nd4Mg5Ge6: optimized geometry, PBE.

Calculated values
- Spin magnetization: 0.00 Bohr magnetons per cell
- Total energy: -4.268 eV per atom
- E_form: -0.62 eV/atom

Structure (POSCAR):
```
Nd4Mg5Ge6
1.0
2.233 -9.991 0.000
2.233 9.991 0.000
0.000 0.000 15.958
Nd Mg Ge
8 10 12
direct
0.013 0.987 0.500
0.034 0.966 0.763
0.164 0.836 0.300
0.175 0.825 0.940
0.825 0.175 0.440
0.836 0.164 0.800
0.966 0.034 0.263
0.987 0.013 0.000
0.155 0.845 0.621
0.303 0.697 0.617
0.339 0.661 0.265
0.350 0.650 0.977
0.442 0.558 0.669
0.558 0.442 0.169
0.650 0.350 0.477
0.661 0.339 0.765
0.697 0.303 0.117
0.845 0.155 0.121
0.114 0.886 0.116
0.226 0.774 0.476
0.233 0.767 0.764
0.428 0.572 0.125
0.433 0.567 0.401
0.445 0.555 0.849
0.555 0.445 0.349
0.567 0.433 0.901
0.572 0.428 0.625
0.767 0.233 0.264
0.774 0.226 0.976
0.886 0.114 0.616
```


Rb2Sr: optimized geometry, PBE.

Calculated values
- Spin magnetization: 0.00 Bohr magnetons per cell
- Total energy: -1.008 eV per atom
- E_form: 0.20 eV/atom

Structure (POSCAR):
```
Rb2Sr
1.0
0.000 6.032 6.032
6.032 0.000 6.032
6.032 6.032 0.000
Rb Sr
4 2
direct
0.000 0.000 0.000
0.000 0.000 0.500
0.000 0.500 0.000
0.500 0.000 0.000
0.375 0.375 0.375
0.625 0.625 0.625
```


HoTm2PaCo2: optimized geometry, PBE.

Calculated values
- Spin magnetization: 0.00 Bohr magnetons per cell
- Total energy: -6.388 eV per atom
- E_form: -0.18 eV/atom

Structure (POSCAR):
```
HoTm2PaCo2
1.0
-3.396 6.258 3.337
3.396 -6.258 3.337
3.396 6.258 -3.337
Ho Tm Pa Co
2 4 2 4
direct
0.250 0.250 0.000
0.750 0.750 0.000
0.202 0.696 0.898
0.298 0.196 0.494
0.702 0.804 0.506
0.798 0.304 0.102
0.250 0.750 0.500
0.750 0.250 0.500
0.092 0.295 0.386
0.408 0.795 0.203
0.592 0.205 0.797
0.908 0.705 0.614
```


TbHo2ErS6: optimized geometry, PBE.

Calculated values
- Spin magnetization: 0.00 Bohr magnetons per cell
- Total energy: -6.373 eV per atom
- Formation energy (no corrections): -2.0621 eV/atom

Structure (POSCAR):
```
TbHo2ErS6
1.0
3.443 1.988 6.154
-3.443 1.988 6.154
0.000 -3.975 6.154
Tb Ho Er S
1 2 1 6
direct
0.000 0.000 0.000
0.298 0.298 0.298
0.799 0.799 0.799
0.498 0.498 0.498
0.097 0.403 0.696
0.202 0.897 0.596
0.403 0.696 0.097
0.596 0.202 0.897
0.696 0.097 0.403
0.897 0.596 0.202
```


TbNdEr4S8: optimized geometry, PBE.

Calculated values
- Spin magnetization: 0.00 Bohr magnetons per cell
- Total energy: -6.255 eV per atom
- Formation energy (no corrections): -1.9215 eV/atom

Structure (POSCAR):
```
TbNdEr4S8
1.0
4.020 2.321 6.596
-4.020 2.321 6.596
0.000 -4.642 6.596
Tb Nd Er S
1 1 4 8
direct
0.000 0.000 0.000
0.375 0.375 0.375
0.000 0.000 0.503
0.000 0.503 0.000
0.503 0.000 0.000
0.626 0.626 0.626
0.231 0.755 0.755
0.238 0.238 0.238
0.242 0.242 0.784
0.242 0.784 0.242
0.755 0.231 0.755
0.755 0.755 0.231
0.758 0.758 0.758
0.784 0.242 0.242
```


TbThMn4: optimized geometry, PBE.

Calculated values
- Spin magnetization: 7.46 Bohr magnetons per cell
- Total energy: -8.027 eV per atom
- E_form: 0.09 eV/atom

Structure (POSCAR):
```
TbThMn4
1.0
0.000 3.694 3.694
3.694 0.000 3.694
3.694 3.694 0.000
Tb Th Mn
1 1 4
direct
0.000 0.000 0.000
0.750 0.750 0.750
0.374 0.374 0.374
0.374 0.374 0.877
0.374 0.877 0.374
0.877 0.374 0.374
```


CsP2PbO8: optimized geometry, PBE.

Calculated values
- Spin magnetization: 1.06 Bohr magnetons per cell
- Total energy: -6.329 eV per atom
- Formation energy (no corrections): -1.7413 eV/atom

Structure (POSCAR):
```
CsP2PbO8
1.0
5.142 0.000 0.000
-2.571 4.453 0.000
0.000 0.000 9.193
Cs P Pb O
1 2 1 8
direct
0.000 0.000 0.000
0.333 0.667 0.698
0.667 0.333 0.302
0.000 0.000 0.500
0.062 0.364 0.645
0.302 0.938 0.645
0.333 0.667 0.865
0.364 0.302 0.355
0.636 0.698 0.645
0.667 0.333 0.135
0.698 0.062 0.355
0.938 0.636 0.355
```


NbHgRh: optimized geometry, PBE.

Calculated values
- Spin magnetization: 0.00 Bohr magnetons per cell
- Total energy: -5.969 eV per atom
- E_form: -0.06 eV/atom
- Excess energy over the best structure of this formula in the dataset: 9 meV/atom

Structure (POSCAR):
```
NbHgRh
1.0
-1.500 1.500 5.930
1.500 -1.500 5.930
1.500 1.500 -5.930
Nb Hg Rh
1 1 1
direct
0.000 0.000 0.000
0.688 0.688 0.000
0.362 0.362 0.000
```


Nd6SmEr4: optimized geometry, PBE.

Calculated values
- Spin magnetization: 0.00 Bohr magnetons per cell
- Total energy: -4.579 eV per atom
- E_form: 0.11 eV/atom
- Excess energy over the best structure of this formula in the dataset: 0 meV/atom

Structure (POSCAR):
```
Nd6SmEr4
1.0
2.931 -4.858 0.000
2.931 4.858 0.000
0.000 0.000 25.945
Nd Sm Er
12 2 8
direct
0.000 0.000 0.000
0.000 0.000 0.500
0.049 0.951 0.750
0.302 0.698 0.099
0.302 0.698 0.401
0.375 0.625 0.681
0.375 0.625 0.819
0.625 0.375 0.181
0.625 0.375 0.319
0.698 0.302 0.599
0.698 0.302 0.901
0.951 0.049 0.250
0.290 0.710 0.250
0.710 0.290 0.750
0.040 0.960 0.624
0.040 0.960 0.876
0.349 0.651 0.544
0.349 0.651 0.956
0.651 0.349 0.044
0.651 0.349 0.456
0.960 0.040 0.124
0.960 0.040 0.376
```


KNa2AsBr6: optimized geometry, PBE.

Calculated values
- Spin magnetization: 0.00 Bohr magnetons per cell
- Total energy: -2.961 eV per atom
- Formation energy (no corrections): -1.1190 eV/atom

Structure (POSCAR):
```
KNa2AsBr6
1.0
3.751 2.165 6.797
-3.751 2.165 6.797
0.000 -4.331 6.797
K Na As Br
1 2 1 6
direct
0.000 0.000 0.000
0.287 0.287 0.287
0.808 0.808 0.808
0.481 0.481 0.481
0.106 0.662 0.436
0.245 0.566 0.854
0.436 0.106 0.662
0.566 0.854 0.245
0.662 0.436 0.106
0.854 0.245 0.566
```


CsMgIn2Br8: optimized geometry, PBE.

Calculated values
- Spin magnetization: 0.70 Bohr magnetons per cell
- Total energy: -2.821 eV per atom
- Formation energy (no corrections): -1.0454 eV/atom

Structure (POSCAR):
```
CsMgIn2Br8
1.0
3.548 2.049 10.195
-3.548 2.049 10.195
0.000 -4.097 10.195
Cs Mg In Br
1 1 2 8
direct
0.000 0.000 0.000
0.500 0.500 0.500
0.238 0.238 0.238
0.762 0.762 0.762
0.155 0.775 0.415
0.225 0.585 0.845
0.323 0.323 0.323
0.415 0.155 0.775
0.585 0.845 0.225
0.677 0.677 0.677
0.775 0.415 0.155
0.845 0.225 0.585
```


Pa3Sn: optimized geometry, PBE.

Calculated values
- Spin magnetization: 0.00 Bohr magnetons per cell
- Total energy: -8.266 eV per atom
- E_form: -0.14 eV/atom
- Excess energy over the best structure of this formula in the dataset: 51 meV/atom

Structure (POSCAR):
```
Pa3Sn
1.0
-1.603 5.416 2.856
1.603 -5.416 2.856
1.603 5.416 -2.856
Pa Sn
3 1
direct
0.000 0.000 0.000
0.436 0.680 0.756
0.925 0.680 0.244
0.495 0.995 0.500
```